VASP calculation (PBE) on a geometry-optimized Mg2TiBi structure.

Output
ρ: 5.77 g/cm3
Space-group type: P4/mmm
N(E_F): 0.98 states/eV/atom
VASP energy: -3.704 eV/atom

abc: 4.3770 4.3770 4.5923
angles: 90.00 90.00 90.00
Fractional coordinates of all 4 atoms:
Mg 0.0000 0.5000 0.0000
Mg 0.5000 0.0000 0.0000
Ti 0.0000 0.0000 0.5000
Bi 0.5000 0.5000 0.5000